Record 1
In2AgPb6 | PBE | optimized geometry

```
In2AgPb6
1.0
4.835 0.020 -1.463
-1.561 5.078 -5.093
1.510 -3.376 13.899
Pb In Ag
6 2 1
Direct
0.107 0.248 0.214 Pb
0.333 0.835 0.665 Pb
0.558 0.398 0.112 Pb
0.667 0.165 0.335 Pb
0.442 0.602 0.888 Pb
0.893 0.752 0.786 Pb
0.216 0.030 0.431 In
0.784 0.970 0.569 In
0.000 0.500 0.000 Ag
```

For the total magnetization, the calculation gives 0.00 Bohr magnetons per cell. As for the density of states at the Fermi level: 0.37 states/eV/atom. Its formation energy is 44 meV per atom.

***

Record 2
InAgPb2 | PBE | optimized geometry

```
InAgPb2
1.0
-3.325 -7.095 -3.597
7.764 -2.045 -3.143
2.840 -6.166 -0.797
Pb In Ag
4 2 2
Direct
0.166 0.625 0.250 Pb
0.584 0.125 0.250 Pb
0.875 0.834 0.750 Pb
0.375 0.416 0.750 Pb
0.750 0.250 0.500 In
0.000 0.000 0.000 In
0.500 0.500 0.000 Ag
0.250 0.750 0.500 Ag
```

For the total magnetization, the calculation gives 0.00 Bohr magnetons per cell. As for the density of states at the Fermi level: 0.53 states/eV/atom. Its formation energy is 164 meV per atom.

***

Record 3
InAgPb2 | PBE | optimized geometry

```
InAgPb2
1.0
-2.730 4.228 1.823
-0.975 0.500 5.240
2.506 3.783 2.839
Pb Ag In
2 1 1
Direct
0.250 0.250 0.250 Pb
0.000 0.000 0.000 Pb
0.500 0.500 0.500 Ag
0.750 0.750 0.750 In
```

For the total magnetization, the calculation gives 0.00 Bohr magnetons per cell. As for the density of states at the Fermi level: 0.19 states/eV/atom. Its formation energy is 97 meV per atom.

***

Record 4
InAgPb2 | PBE | optimized geometry

```
InAgPb2
1.0
6.316 0.185 0.584
5.284 3.466 0.584
2.102 0.662 5.355
In Pb Ag
1 2 1
Direct
0.224 0.224 0.232 In
0.993 0.993 0.033 Pb
0.774 0.774 0.688 Pb
0.510 0.510 0.546 Ag
```

For the total magnetization, the calculation gives 0.00 Bohr magnetons per cell. As for the density of states at the Fermi level: 0.34 states/eV/atom. Its formation energy is 64 meV per atom.

***

Record 5
In7Ag5Pb | PBE | optimized geometry

```
In7Ag5Pb
1.0
5.408 0.000 2.221
2.702 7.178 1.115
-0.023 0.028 7.750
Ag In Pb
5 7 1
Direct
0.994 0.005 0.511 Ag
0.994 0.511 0.005 Ag
0.491 0.005 0.511 Ag
0.728 0.772 0.772 Ag
0.491 0.511 0.005 Ag
0.257 0.243 0.243 In
0.366 0.634 0.634 In
0.985 0.678 0.353 In
0.498 0.815 0.190 In
0.498 0.190 0.815 In
0.985 0.353 0.678 In
0.661 0.339 0.339 In
0.054 0.946 0.946 Pb
```

For the total magnetization, the calculation gives 0.00 Bohr magnetons per cell. As for the density of states at the Fermi level: 0.26 states/eV/atom. Its formation energy is 3 meV per atom.

***

Record 6
InAgPb2 | PBE | optimized geometry

```
InAgPb2
1.0
-4.193 0.636 2.393
-2.241 -3.811 2.041
0.764 -0.166 6.339
Pb In Ag
2 1 1
Direct
0.067 0.067 0.799 Pb
0.270 0.270 0.189 Pb
0.494 0.494 0.517 In
0.668 0.668 0.995 Ag
```

For the total magnetization, the calculation gives 0.00 Bohr magnetons per cell. As for the density of states at the Fermi level: 0.44 states/eV/atom. Its formation energy is 110 meV per atom.